UMnNi: optimized geometry, GGA-PBE.

abc: 3.6977 5.1794 5.5313
angles: 62.09 81.31 90.01
Last column: nearest neighbours and their distance in Å.
Fractional coordinates of all 6 atoms:
Ni1 0.9999 0.7483 0.9998  4 Mn 2.57-2.59, 2 Ni 2.57-2.61, 2 U 2.70
Ni2 0.0001 0.2517 0.0002  4 Mn 2.57-2.59, 2 Ni 2.57-2.61, 2 U 2.70
U1 0.6600 0.6852 0.6296  1 Mn 2.10
U2 0.3400 0.3148 0.3704  1 Mn 2.10
Mn1 0.5529 0.1288 0.7426  1 U 2.10
Mn2 0.4471 0.8712 0.2574  1 U 2.10

Computed properties:
Energy relative to the lowest polymorph listed for this composition = 0 meV per atom
Space group = C2/m (12)
Formation energy = -0.12 eV/atom
Total moment = 0.000 μB per formula unit

---

ScGa2Sb2: optimized geometry, GGA-PBE.

abc: 7.4994 7.4994 3.9842
angles: 90.00 90.00 90.00
Last column: nearest neighbours and their distance in Å.
Fractional coordinates of all 10 atoms:
Sb1 0.3255 0.1745 0.5000  6 Ga 2.89-3.04
Sb2 0.6745 0.8255 0.5000  6 Ga 2.89-3.04
Sb3 0.1745 0.6745 0.5000  6 Ga 2.89-3.04
Sb4 0.8255 0.3255 0.5000  6 Ga 2.89-3.04
Sc1 0.5000 0.5000 0.0000  4 Ga 2.95
Sc2 0.0000 0.0000 0.0000  4 Ga 2.95
Ga1 0.8716 0.6284 0.0000  1 Ga 2.72, 6 Sb 2.89-3.04, 2 Sc 2.95
Ga2 0.6284 0.1284 0.0000  1 Ga 2.72, 6 Sb 2.89-3.04, 2 Sc 2.95
Ga3 0.1284 0.3716 0.0000  1 Ga 2.72, 6 Sb 2.89-3.04, 2 Sc 2.95
Ga4 0.3716 0.8716 0.0000  1 Ga 2.72, 6 Sb 2.89-3.04, 2 Sc 2.95

Computed properties:
Energy relative to the lowest polymorph listed for this composition = 0 meV per atom
Space group = P4/mbm (127)
Energy relative to the elements, uncorrected = -0.1486 eV/atom
Total moment = 0.000 μB per formula unit

---

Na3GeTe3: optimized geometry, GGA-PBE.

abc: 13.0271 8.9046 9.0635
angles: 60.13 90.00 90.00
Last column: nearest neighbours and their distance in Å.
Fractional coordinates of all 28 atoms:
Na1 0.9427 0.7702 0.5289  6 Te 3.18-3.55
Na2 0.6523 0.9931 0.5236  6 Te 3.19-3.55
Na3 0.2314 0.5292 0.7300  4 Te 3.13-3.36
Na4 0.5573 0.7702 0.0289  6 Te 3.18-3.55
Na5 0.8477 0.9931 0.0236  6 Te 3.19-3.55
Na6 0.7686 0.4708 0.2700  4 Te 3.13-3.36
Na7 0.0573 0.2298 0.4711  6 Te 3.18-3.55
Na8 0.1523 0.0069 0.9764  6 Te 3.19-3.55
Na9 0.4427 0.2298 0.9711  6 Te 3.18-3.55
Na10 0.7314 0.4708 0.7700  4 Te 3.13-3.36
Na11 0.3477 0.0069 0.4764  6 Te 3.19-3.55
Na12 0.2686 0.5292 0.2300  4 Te 3.13-3.36
Ge1 0.4898 0.3463 0.5347  1 Ge 2.50, 3 Te 2.61-2.62
Ge2 0.5102 0.6537 0.4653  1 Ge 2.50, 3 Te 2.61-2.62
Ge3 0.0102 0.3463 0.0347  1 Ge 2.50, 3 Te 2.61-2.62
Ge4 0.9898 0.6537 0.9653  1 Ge 2.50, 3 Te 2.61-2.62
Te1 0.4717 0.6566 0.7462  1 Ge 2.61
Te2 0.1242 0.8428 0.7315  1 Ge 2.61
Te3 0.6989 0.7510 0.3646  1 Ge 2.62
Te4 0.6242 0.1572 0.7685  1 Ge 2.61
Te5 0.8011 0.7510 0.8646  1 Ge 2.62
Te6 0.1989 0.2490 0.1354  1 Ge 2.62
Te7 0.0283 0.6566 0.2462  1 Ge 2.61
Te8 0.3758 0.8428 0.2315  1 Ge 2.61
Te9 0.8758 0.1572 0.2685  1 Ge 2.61
Te10 0.3011 0.2490 0.6354  1 Ge 2.62
Te11 0.5283 0.3434 0.2538  1 Ge 2.61
Te12 0.9717 0.3434 0.7538  1 Ge 2.61

Computed properties:
Energy relative to the lowest polymorph listed for this composition = 0 meV per atom
Space group = P2_1/c (14)
Energy relative to the elements, uncorrected = -0.6546 eV/atom
Total moment = 0.000 μB per formula unit

---

CaY3C: optimized geometry, GGA-PBE.

abc: 5.1263 5.1263 5.1263
angles: 90.00 90.00 90.00
Last column: nearest neighbours and their distance in Å.
Fractional coordinates of all 5 atoms:
Y1 0.5000 0.0000 0.0000  2 C 2.56
Y2 0.0000 0.0000 0.5000  2 C 2.56
Y3 0.0000 0.5000 0.0000  2 C 2.56
Ca1 0.5000 0.5000 0.5000  12 Y 3.62
C1 0.0000 0.0000 0.0000  6 Y 2.56

Computed properties:
Energy relative to the lowest polymorph listed for this composition = 0 meV per atom
Space group = Pm-3m (221)
Formation energy = -0.03 eV/atom
Total moment = 0.000 μB per formula unit

---

CeHo3Cd6: optimized geometry, GGA-PBE.

abc: 5.2093 9.1622 11.1359
angles: 106.84 90.00 90.00
Last column: nearest neighbours and their distance in Å.
Fractional coordinates of all 20 atoms:
Cd1 0.7500 0.8528 0.8058  8 Cd 3.11-3.37
Cd2 0.2500 0.8445 0.2905  4 Ho 3.14-3.32, 1 Cd 3.25, 3 Ce 3.25-3.34
Cd3 0.2500 0.0572 0.9027  3 Cd 3.11-3.21, 4 Ho 3.13-3.25, 1 Ce 3.18
Cd4 0.7500 0.7441 0.5050  4 Ho 3.12-3.27, 3 Ce 3.20-3.41, 1 Cd 3.21
Cd5 0.7500 0.3486 0.2992  5 Ho 3.12-3.32, 1 Ce 3.17, 2 Cd 3.21
Cd6 0.7500 0.1555 0.7095  4 Ho 3.14-3.32, 1 Cd 3.25, 3 Ce 3.25-3.34
Cd7 0.2500 0.1472 0.1942  8 Cd 3.11-3.37
Cd8 0.2500 0.2559 0.4950  4 Ho 3.12-3.27, 3 Ce 3.20-3.41, 1 Cd 3.21
Cd9 0.7500 0.9428 0.0973  3 Cd 3.11-3.21, 4 Ho 3.13-3.25, 1 Ce 3.18
Cd10 0.2500 0.6514 0.7008  5 Ho 3.12-3.32, 1 Ce 3.17, 2 Cd 3.21
Cd11 0.2500 0.4580 0.0909  7 Ho 3.18-3.26, 3 Cd 3.37-3.52
Cd12 0.7500 0.5420 0.9091  7 Ho 3.18-3.26, 3 Cd 3.37-3.52
Ho1 0.7500 0.2394 0.0064  8 Cd 3.12-3.26
Ho2 0.2500 0.3497 0.7926  8 Cd 3.14-3.25
Ho3 0.2500 0.7606 0.9936  8 Cd 3.12-3.26
Ho4 0.7500 0.6503 0.2074  8 Cd 3.14-3.25
Ho5 0.2500 0.5357 0.3889  8 Cd 3.12-3.32
Ho6 0.7500 0.4643 0.6111  8 Cd 3.12-3.32
Ce1 0.7500 0.0551 0.3959  8 Cd 3.17-3.41
Ce2 0.2500 0.9449 0.6041  8 Cd 3.17-3.41

Computed properties:
Space group = P2_1/m (11)
Formation energy = -0.24 eV/atom
Total moment = 1.122 μB per formula unit

---

BaScTlI6: optimized geometry, GGA-PBE.

abc: 8.3565 8.3565 14.3960
angles: 90.00 90.00 120.00
Last column: nearest neighbours and their distance in Å.
Fractional coordinates of all 18 atoms:
I1 0.9501 0.6148 0.3693  1 Sc 2.92
I2 0.6148 0.9501 0.8693  1 Sc 2.92
I3 0.6647 0.0499 0.3693  1 Sc 2.92
I4 0.3353 0.3852 0.8693  1 Sc 2.92
I5 0.0499 0.6647 0.8693  1 Sc 2.92
I6 0.3353 0.9501 0.6307  1 Sc 2.92
I7 0.6148 0.6647 0.6307  1 Sc 2.92
I8 0.3852 0.0499 0.1307  1 Sc 2.92
I9 0.0499 0.3852 0.6307  1 Sc 2.92
I10 0.6647 0.6148 0.1307  1 Sc 2.92
I11 0.9501 0.3353 0.1307  1 Sc 2.92
I12 0.3852 0.3353 0.3693  1 Sc 2.92
Tl1 0.0000 0.0000 0.0000  6 I 3.57
Tl2 0.0000 0.0000 0.5000  6 I 3.57
Ba1 0.6667 0.3333 0.7500  6 I 3.47
Ba2 0.3333 0.6667 0.2500  6 I 3.47
Sc1 0.3333 0.6667 0.7500  6 I 2.92
Sc2 0.6667 0.3333 0.2500  6 I 2.92

Computed properties:
Space group = P-31c (163)
Energy relative to the elements, uncorrected = -1.2664 eV/atom
Total moment = 0.000 μB per formula unit

---

SmTh2Sn: optimized geometry, GGA-PBE.

abc: 3.4999 3.4999 12.6125
angles: 82.02 82.02 60.00
Last column: nearest neighbours and their distance in Å.
Fractional coordinates of all 4 atoms:
Sm1 0.5000 0.5000 0.5000  6 Sm 3.50, 6 Th 3.62
Th1 0.0863 0.0863 0.7412  1 Sn 3.22, 6 Th 3.50
Th2 0.9137 0.9137 0.2588  1 Sn 3.22, 6 Th 3.50
Sn1 0.0000 0.0000 0.0000  2 Th 3.22, 6 Sn 3.50

Computed properties:
Energy relative to the lowest polymorph listed for this composition = 521 meV per atom
Space group = R-3m (166)
Formation energy = 0.18 eV/atom
Total moment = 0.000 μB per formula unit

---

Hf12TlFe6: optimized geometry, GGA-PBE.

abc: 7.7422 7.7422 7.7422
angles: 109.47 109.47 109.47
Last column: nearest neighbours and their distance in Å.
Fractional coordinates of all 19 atoms:
Hf1 0.0995 0.8047 0.2948  1 Fe 2.45
Hf2 0.1953 0.2948 0.4901  1 Fe 2.45
Hf3 0.2948 0.0995 0.8047  1 Fe 2.45
Hf4 0.7052 0.9005 0.1953  1 Fe 2.45
Hf5 0.7052 0.5099 0.8047  1 Fe 2.45
Hf6 0.8047 0.2948 0.0995  1 Fe 2.45
Hf7 0.1953 0.7052 0.9005  1 Fe 2.45
Hf8 0.8047 0.7052 0.5099  1 Fe 2.45
Hf9 0.5099 0.8047 0.7052  1 Fe 2.45
Hf10 0.4901 0.1953 0.2948  1 Fe 2.45
Hf11 0.9005 0.1953 0.7052  1 Fe 2.45
Hf12 0.2948 0.4901 0.1953  1 Fe 2.45
Fe1 0.6231 0.5000 0.1231  1 Fe 2.20, 2 Hf 2.45
Fe2 0.8769 0.3769 0.5000  1 Fe 2.20, 2 Hf 2.45
Fe3 0.1231 0.6231 0.5000  1 Fe 2.20, 2 Hf 2.45
Fe4 0.3769 0.5000 0.8769  1 Fe 2.20, 2 Hf 2.45
Fe5 0.5000 0.8769 0.3769  1 Fe 2.20, 2 Hf 2.45
Fe6 0.5000 0.1231 0.6231  1 Fe 2.20, 2 Hf 2.45
Tl1 0.0000 0.0000 0.0000  12 Hf 3.16

Computed properties:
Space group = Im-3 (204)
Formation energy = -0.11 eV/atom
Total moment = 4.481 μB per formula unit

---

YIr2Pt: optimized geometry, GGA-PBE.

abc: 4.0872 4.0872 9.9201
angles: 78.11 78.11 90.00
Last column: nearest neighbours and their distance in Å.
Fractional coordinates of all 8 atoms:
Ir1 0.3750 0.2968 0.7500  2 Ir 2.48, 2 Pt 2.68
Ir2 0.0468 0.6250 0.2500  2 Ir 2.48, 2 Pt 2.68
Ir3 0.8750 0.9532 0.7500  2 Ir 2.48, 2 Pt 2.68
Ir4 0.7032 0.1250 0.2500  2 Ir 2.48, 2 Pt 2.68
Pt1 0.7500 0.2500 0.5000  4 Ir 2.68, 4 Y 2.89
Pt2 0.0000 0.0000 0.0000  4 Ir 2.68, 4 Y 2.89
Y1 0.2500 0.7500 0.5000  4 Pt 2.89, 4 Ir 2.91
Y2 0.5000 0.5000 0.0000  4 Pt 2.89, 4 Ir 2.91

Computed properties:
Energy relative to the lowest polymorph listed for this composition = 354 meV per atom
Space group = I-42d (122)
Formation energy = -0.20 eV/atom
Total moment = 0.000 μB per formula unit

---

ZrCdSeBr2: optimized geometry, GGA-PBE.

abc: 5.4306 5.4306 5.2029
angles: 90.00 90.00 90.00
Last column: nearest neighbours and their distance in Å.
Fractional coordinates of all 5 atoms:
Zr1 0.0000 0.0000 0.0000  2 Se 2.60, 4 Br 2.72
Br1 0.0000 0.5000 0.0000  2 Zr 2.72
Br2 0.5000 0.0000 0.0000  2 Zr 2.72
Cd1 0.5000 0.5000 0.5000  8 Br 3.76, 4 Se 3.84
Se1 0.0000 0.0000 0.5000  2 Zr 2.60

Computed properties:
Energy relative to the lowest polymorph listed for this composition = 0 meV per atom
Space group = P4/mmm (123)
Energy relative to the elements, uncorrected = -0.7149 eV/atom
Total moment = 0.000 μB per formula unit

---

Na3ZrIn3O8: optimized geometry, GGA-PBE.

abc: 6.5557 6.5557 6.7883
angles: 118.88 90.00 120.00
Last column: nearest neighbours and their distance in Å.
Fractional coordinates of all 15 atoms:
Na1 0.0000 0.5000 0.0000  6 O 2.49-2.52
Na2 0.0000 0.0000 0.0000  6 O 2.49-2.52
Na3 0.5000 0.5000 0.0000  6 O 2.49-2.52
O1 0.2500 0.0233 0.2967  1 Zr 2.14, 2 In 2.25
O2 0.2267 0.4534 0.7033  1 Zr 2.14, 2 In 2.25
O3 0.7733 0.0233 0.2967  1 Zr 2.14, 2 In 2.25
O4 0.2650 0.5300 0.2950  3 In 2.22
O5 0.2267 0.9767 0.7033  1 Zr 2.14, 2 In 2.25
O6 0.7733 0.5466 0.2967  1 Zr 2.14, 2 In 2.25
O7 0.7500 0.9767 0.7033  1 Zr 2.14, 2 In 2.25
O8 0.7350 0.4700 0.7050  3 In 2.22
In1 0.5000 0.5000 0.5000  6 O 2.22-2.25
In2 0.0000 0.5000 0.5000  6 O 2.22-2.25
In3 0.5000 0.0000 0.5000  6 O 2.22-2.25
Zr1 0.0000 0.0000 0.5000  6 O 2.14

Computed properties:
Space group = R-3m (166)
Energy relative to the elements, uncorrected = -1.9119 eV/atom
Total moment = 0.000 μB per formula unit

---

LaPm9Nd2: optimized geometry, GGA-PBE.

abc: 5.1820 5.1820 15.5447
angles: 90.00 90.00 90.00
Last column: nearest neighbours and their distance in Å.
Fractional coordinates of all 12 atoms:
Pm1 0.0000 0.5000 0.1679  2 Nd 3.65, 8 Pm 3.66-3.68, 2 La 3.68
Pm2 0.5000 0.0000 0.5000  8 Pm 3.65-3.66, 4 Nd 3.66
Pm3 0.5000 0.0000 0.1679  2 Nd 3.65, 8 Pm 3.66-3.68, 2 La 3.68
Pm4 0.5000 0.0000 0.8321  2 Nd 3.65, 8 Pm 3.66-3.68, 2 La 3.68
Pm5 0.0000 0.5000 0.8321  2 Nd 3.65, 8 Pm 3.66-3.68, 2 La 3.68
Pm6 0.0000 0.5000 0.5000  8 Pm 3.65-3.66, 4 Nd 3.66
Pm7 0.5000 0.5000 0.3342  8 Pm 3.65-3.66, 4 Nd 3.66
Pm8 0.5000 0.5000 0.0000  4 La 3.66, 8 Pm 3.68
Pm9 0.5000 0.5000 0.6658  8 Pm 3.65-3.66, 4 Nd 3.66
Nd1 0.0000 0.0000 0.3334  12 Pm 3.65-3.66
Nd2 0.0000 0.0000 0.6666  12 Pm 3.65-3.66
La1 0.0000 0.0000 0.0000  12 Pm 3.66-3.68

Computed properties:
Space group = P4/mmm (123)
Formation energy = 0.02 eV/atom
Total moment = 0.000 μB per formula unit